## PmSmHoEr3 (PBE-GGA)

Data for PmSmHoEr3 after structural relaxation.

Formation energy from the elements ... 0.20 eV/atom
Crystal system ... monoclinic
VASP energy ... -53.08 eV for the cell shown

Cell: 5.6143 10.1222 7.0836 Å, 90.26 90.00 106.10°
Sites, in units of the cell vectors:
Er 0.5235 0.0470 0.7422
Sm 0.9485 0.8970 0.7405
Er 0.4765 0.9530 0.2578
Pm 0.6470 0.2941 0.0336
Er 0.8340 0.6680 0.2614
Ho 0.3504 0.7009 0.5419
Er 0.1660 0.3320 0.7386
Sm 0.0515 0.1030 0.2595
Pm 0.3530 0.7059 0.9664
Er 0.7798 0.5596 0.7520
Ho 0.6496 0.2991 0.4581
Er 0.2202 0.4404 0.2480